Li4CdPd after structural relaxation. Source: the Alexandria database, functional PBE.

```
Li4CdPd
1.0
4.469 -0.002 0.000
0.001 5.235 1.914
-0.001 0.016 8.198
Li Cd Pd
8 2 2
Cartesian
1.118 4.261 4.965 Li
1.118 5.047 2.528 Li
3.352 3.822 6.179 Li
3.351 2.878 8.564 Li
3.350 0.988 5.147 Li
1.116 1.427 3.933 Li
3.350 0.202 7.585 Li
1.117 2.371 1.548 Li
3.352 3.257 3.300 Cd
1.117 1.992 6.812 Cd
3.351 0.667 2.267 Pd
1.117 4.582 7.846 Pd
```

crystal system	monoclinic
raw total energy	-2.59	eV per atom
calculated volume	16.0	Å³ per atom
energy of formation	-0.29	eV per atom
excess energy over the best structure of this formula in the dataset	0	meV per atom